Below is Sm3Er4Bi4 after structural relaxation, with properties calculated at the PBE level.

Unit cell a=4.2437 b=9.4564 c=17.0921 alpha=90.00 beta=90.00 gamma=90.00
Space group Immm (No. 71)
Asymmetric unit:
Sm (0.0000, 0.0000, 0.0000) (multiplicity 2)
Sm (0.0000, 0.5000, 0.1067) (multiplicity 4)
Er (0.0000, 0.3080, 0.3298) (multiplicity 8)
Bi (0.0000, 0.0000, 0.2513) (multiplicity 4)
Bi (0.0000, 0.2051, 0.5000) (multiplicity 4)

Results
For the formation energy, the calculation gives -554 meV/atom. The magnetization is 0.000 μB/atom. The raw total energy is -108.06 eV/cell.